# PBE La8Pt3CI4, relaxed
# - Magnetic moment: 0.01 μB per cell
# - Volume: 32.0 A^3/atom
# - E_form (uncorrected): -1.043 eV per atom
data_La8Pt3CI4
_chemical_formula_sum 'La16 Pt6 C2 I8'
_symmetry_space_group_name_H-M 'C 1 2/m 1'
_symmetry_Int_Tables_number 12
_cell_length_a 14.7753
_cell_length_b 8.4994
_cell_length_c 9.5401
_cell_angle_alpha 90.00
_cell_angle_beta 121.16
_cell_angle_gamma 90.00
loop_
_symmetry_equiv_pos_as_xyz
'x,y,z'
'-x,-y,-z'
'-x,y,-z'
'x,-y,z'
'x+1/2,y+1/2,z'
'-x+1/2,-y+1/2,-z'
'-x+1/2,y+1/2,-z'
'x+1/2,-y+1/2,z'
loop_
_atom_site_label
_atom_site_fract_x
_atom_site_fract_y
_atom_site_fract_z
_atom_site_occupancy
La1 0.0161 0.2320 0.3179 1
La2 0.2170 0.0000 0.6827 1
La3 0.2301 0.5000 0.6887 1
Pt1 0.0000 0.5000 0.5000 1
Pt2 0.2500 0.2500 0.5000 1
C1 0.0000 0.0000 0.5000 1
I1 0.0000 0.0000 0.0000 1
I2 0.0000 0.5000 0.0000 1
I3 0.2500 0.2500 0.0000 1

# PBE Ba2URh2S6, relaxed
# - Magnetic moment: 0.00 μB per cell
# - Volume: 25.8 A^3/atom
# - E_form (uncorrected): -1.116 eV per atom
data_Ba2URh2S6
_chemical_formula_sum 'Ba4 U2 Rh4 S12'
_symmetry_space_group_name_H-M 'C 1 2/m 1'
_symmetry_Int_Tables_number 12
_cell_length_a 12.5349
_cell_length_b 7.0816
_cell_length_c 7.7173
_cell_angle_alpha 90.00
_cell_angle_beta 123.93
_cell_angle_gamma 90.00
loop_
_symmetry_equiv_pos_as_xyz
'x,y,z'
'-x,-y,-z'
'-x,y,-z'
'x,-y,z'
'x+1/2,y+1/2,z'
'-x+1/2,-y+1/2,-z'
'-x+1/2,y+1/2,-z'
'x+1/2,-y+1/2,z'
loop_
_atom_site_label
_atom_site_fract_x
_atom_site_fract_y
_atom_site_fract_z
_atom_site_occupancy
Ba1 0.2309 0.0000 0.2138 1
U1 0.0000 0.0000 0.5000 1
Rh1 0.0482 0.5000 0.1951 1
S1 0.0557 0.2459 0.7858 1
S2 0.2368 0.0000 0.6359 1

# PBE IrPdPt5, relaxed
# - Magnetic moment: 0.00 μB per cell
# - Volume: 16.5 A^3/atom
# - ΔH_f (0 K): 0.8 eV per formula unit
data_IrPdPt5
_chemical_formula_sum 'Ir1 Pd1 Pt5'
_symmetry_space_group_name_H-M 'P 4/m m m'
_symmetry_Int_Tables_number 123
_symmetry_space_group_name_Hall '-P 4 2'
_cell_length_a 3.8825
_cell_length_b 3.8825
_cell_length_c 7.6775
_cell_angle_alpha 90.00
_cell_angle_beta 90.00
_cell_angle_gamma 90.00
loop_
_atom_site_label
_atom_site_fract_x
_atom_site_fract_y
_atom_site_fract_z
_atom_site_occupancy
Ir1 0.0000 0.0000 0.0000 1
Pd1 0.0000 0.0000 0.5000 1
Pt1 0.0000 0.5000 0.2297 1
Pt2 0.5000 0.5000 0.5000 1

# PBE BaLiHg2Pt, relaxed
# - Magnetic moment: 0.00 μB per cell
# - Volume: 27.9 A^3/atom
# - ΔH_f (0 K): -2.0 eV per formula unit
data_BaLiHg2Pt
_chemical_formula_sum 'Ba1 Li1 Hg2 Pt1'
_symmetry_space_group_name_H-M 'P 4/m m m'
_symmetry_Int_Tables_number 123
_symmetry_space_group_name_Hall '-P 4 2'
_cell_length_a 5.3713
_cell_length_b 5.3713
_cell_length_c 4.8294
_cell_angle_alpha 90.00
_cell_angle_beta 90.00
_cell_angle_gamma 90.00
loop_
_atom_site_label
_atom_site_fract_x
_atom_site_fract_y
_atom_site_fract_z
_atom_site_occupancy
Ba1 0.0000 0.0000 0.0000 1
Li1 0.5000 0.5000 0.0000 1
Hg1 0.0000 0.5000 0.5000 1
Pt1 0.5000 0.5000 0.5000 1

# PBE Fe2TcTe, relaxed
# - Magnetic moment: 5.29 μB per cell
# - Volume: 14.6 A^3/atom
# - E_form (uncorrected): 0.413 eV per atom
data_Fe2TcTe
_chemical_formula_sum 'Fe2 Tc1 Te1'
_symmetry_space_group_name_H-M 'P 4/m m m'
_symmetry_Int_Tables_number 123
_symmetry_space_group_name_Hall '-P 4 2'
_cell_length_a 4.0933
_cell_length_b 4.0933
_cell_length_c 3.4926
_cell_angle_alpha 90.00
_cell_angle_beta 90.00
_cell_angle_gamma 90.00
loop_
_atom_site_label
_atom_site_fract_x
_atom_site_fract_y
_atom_site_fract_z
_atom_site_occupancy
Fe1 0.0000 0.5000 0.0000 1
Tc1 0.0000 0.0000 0.5000 1
Te1 0.5000 0.5000 0.5000 1

# PBE AcPmSmTl, relaxed
# - Magnetic moment: 0.00 μB per cell
# - Volume: 32.7 A^3/atom
# - ΔH_f (0 K): 0.0 eV per formula unit
# - Distance to the lowest polymorph of the same formula: 165 meV/atom
data_AcPmSmTl
_chemical_formula_sum 'Ac4 Pm4 Sm4 Tl4'
_symmetry_space_group_name_H-M 'F -4 3 m'
_symmetry_Int_Tables_number 216
_symmetry_space_group_name_Hall 'F -4 2 3'
_cell_length_a 8.0598
_cell_length_b 8.0598
_cell_length_c 8.0598
_cell_angle_alpha 90.00
_cell_angle_beta 90.00
_cell_angle_gamma 90.00
loop_
_atom_site_label
_atom_site_fract_x
_atom_site_fract_y
_atom_site_fract_z
_atom_site_occupancy
Ac1 0.0000 0.0000 0.0000 1
Pm1 0.2500 0.2500 0.7500 1
Sm1 0.2500 0.2500 0.2500 1
Tl1 0.0000 0.0000 0.5000 1

# PBE Ac6Si2Te3N, relaxed
# - Magnetic moment: 0.00 μB per cell
# - Volume: 33.6 A^3/atom
# - E_form (uncorrected): -1.117 eV per atom
data_Ac6Si2Te3N
_chemical_formula_sum 'Ac12 Si4 Te6 N2'
_symmetry_space_group_name_H-M 'C 1 2/m 1'
_symmetry_Int_Tables_number 12
_cell_length_a 7.7790
_cell_length_b 13.3977
_cell_length_c 8.1609
_cell_angle_alpha 90.00
_cell_angle_beta 108.51
_cell_angle_gamma 90.00
loop_
_symmetry_equiv_pos_as_xyz
'x,y,z'
'-x,-y,-z'
'-x,y,-z'
'x,-y,z'
'x+1/2,y+1/2,z'
'-x+1/2,-y+1/2,-z'
'-x+1/2,y+1/2,-z'
'x+1/2,-y+1/2,z'
loop_
_atom_site_label
_atom_site_fract_x
_atom_site_fract_y
_atom_site_fract_z
_atom_site_occupancy
Ac1 0.2237 0.1549 0.2084 1
Ac2 0.2423 0.0000 0.7823 1
Si1 0.0000 0.3346 0.0000 1
Te1 0.0000 0.1750 0.5000 1
Te2 0.0000 0.5000 0.5000 1
N1 0.0000 0.0000 0.0000 1

# PBE Tb6Er8Pu, relaxed
# - Magnetic moment: 19.74 μB per cell
# - Volume: 31.3 A^3/atom
# - ΔH_f (0 K): 1.7 eV per formula unit
data_Tb6Er8Pu
_chemical_formula_sum 'Tb18 Er24 Pu3'
_symmetry_space_group_name_H-M 'R -3'
_symmetry_Int_Tables_number 148
_symmetry_space_group_name_Hall '-R 3'
_cell_length_a 8.9579
_cell_length_b 8.9579
_cell_length_c 20.2441
_cell_angle_alpha 90.00
_cell_angle_beta 90.00
_cell_angle_gamma 120.00
loop_
_atom_site_label
_atom_site_fract_x
_atom_site_fract_y
_atom_site_fract_z
_atom_site_occupancy
Tb1 0.0733 0.2527 0.2071 1
Er1 0.0000 0.0000 0.0763 1
Er2 0.0825 0.5567 0.3071 1
Pu1 0.0000 0.0000 0.5000 1

# PBE Pm2NiCl2, relaxed
# - Magnetic moment: 0.00 μB per cell
# - Volume: 28.5 A^3/atom
# - E_form (uncorrected): -1.305 eV per atom
data_Pm2NiCl2
_chemical_formula_sum 'Pm6 Ni3 Cl6'
_symmetry_space_group_name_H-M 'R -3 m'
_symmetry_Int_Tables_number 166
_symmetry_space_group_name_Hall '-R 3 2"'
_cell_length_a 3.9560
_cell_length_b 3.9560
_cell_length_c 31.5027
_cell_angle_alpha 90.00
_cell_angle_beta 90.00
_cell_angle_gamma 120.00
loop_
_atom_site_label
_atom_site_fract_x
_atom_site_fract_y
_atom_site_fract_z
_atom_site_occupancy
Pm1 0.0000 0.0000 0.1141 1
Ni1 0.0000 0.0000 0.5000 1
Cl1 0.0000 0.0000 0.2759 1

# PBE Sr2Ac4La, relaxed
# - Magnetic moment: 0.00 μB per cell
# - Volume: 46.5 A^3/atom
# - ΔH_f (0 K): 0.4 eV per formula unit
data_Sr2Ac4La
_chemical_formula_sum 'Sr4 Ac8 La2'
_symmetry_space_group_name_H-M 'C m m m'
_symmetry_Int_Tables_number 65
_symmetry_space_group_name_Hall '-C 2 2'
_cell_length_a 4.0029
_cell_length_b 41.1004
_cell_length_c 3.9605
_cell_angle_alpha 90.00
_cell_angle_beta 90.00
_cell_angle_gamma 90.00
loop_
_atom_site_label
_atom_site_fract_x
_atom_site_fract_y
_atom_site_fract_z
_atom_site_occupancy
Sr1 0.0000 0.2061 0.0000 1
Ac1 0.0000 0.0649 0.0000 1
Ac2 0.0000 0.3684 0.5000 1
La1 0.0000 0.5000 0.5000 1

# PBE La12Pm3Al, relaxed
# - Magnetic moment: 0.00 μB per cell
# - Volume: 34.7 A^3/atom
# - ΔH_f (0 K): -0.4 eV per formula unit
data_La12Pm3Al
_chemical_formula_sum 'La12 Pm3 Al1'
_symmetry_space_group_name_H-M 'P 4/m m m'
_symmetry_Int_Tables_number 123
_symmetry_space_group_name_Hall '-P 4 2'
_cell_length_a 5.1521
_cell_length_b 5.1521
_cell_length_c 20.9042
_cell_angle_alpha 90.00
_cell_angle_beta 90.00
_cell_angle_gamma 90.00
loop_
_atom_site_label
_atom_site_fract_x
_atom_site_fract_y
_atom_site_fract_z
_atom_site_occupancy
La1 0.0000 0.0000 0.0000 1
La2 0.0000 0.0000 0.2467 1
La3 0.0000 0.0000 0.5000 1
La4 0.0000 0.5000 0.1167 1
La5 0.0000 0.5000 0.3721 1
Pm1 0.5000 0.5000 0.2452 1
Pm2 0.5000 0.5000 0.5000 1
Al1 0.5000 0.5000 0.0000 1

# PBE CdHgBr3, relaxed
# - Magnetic moment: 0.00 μB per cell
# - Volume: 36.5 A^3/atom
# - E_form (uncorrected): -0.623 eV per atom
# - Distance to the lowest polymorph of the same formula: 21 meV/atom
data_CdHgBr3
_chemical_formula_sum 'Cd4 Hg4 Br12'
_symmetry_space_group_name_H-M 'C 1 2/m 1'
_symmetry_Int_Tables_number 12
_cell_length_a 12.9948
_cell_length_b 3.9765
_cell_length_c 14.3785
_cell_angle_alpha 90.00
_cell_angle_beta 100.95
_cell_angle_gamma 90.00
loop_
_symmetry_equiv_pos_as_xyz
'x,y,z'
'-x,-y,-z'
'-x,y,-z'
'x,-y,z'
'x+1/2,y+1/2,z'
'-x+1/2,-y+1/2,-z'
'-x+1/2,y+1/2,-z'
'x+1/2,-y+1/2,z'
loop_
_atom_site_label
_atom_site_fract_x
_atom_site_fract_y
_atom_site_fract_z
_atom_site_occupancy
Cd1 0.1461 0.0000 0.4037 1
Hg1 0.0863 0.5000 0.9625 1
Br1 0.0813 0.5000 0.2831 1
Br2 0.1409 0.5000 0.5497 1
Br3 0.1896 0.0000 0.8815 1

# PBE Ca3TcAg, relaxed
# - Magnetic moment: 0.00 μB per cell
# - Volume: 31.2 A^3/atom
# - ΔH_f (0 K): 2.7 eV per formula unit
# - Distance to the lowest polymorph of the same formula: 0 meV/atom
data_Ca3TcAg
_chemical_formula_sum 'Ca3 Tc1 Ag1'
_symmetry_space_group_name_H-M 'P m -3 m'
_symmetry_Int_Tables_number 221
_symmetry_space_group_name_Hall '-P 4 2 3'
_cell_length_a 5.3842
_cell_length_b 5.3842
_cell_length_c 5.3842
_cell_angle_alpha 90.00
_cell_angle_beta 90.00
_cell_angle_gamma 90.00
loop_
_atom_site_label
_atom_site_fract_x
_atom_site_fract_y
_atom_site_fract_z
_atom_site_occupancy
Ca1 0.0000 0.0000 0.5000 1
Tc1 0.0000 0.0000 0.0000 1
Ag1 0.5000 0.5000 0.5000 1

# PBE PmGa2Pd5, relaxed
# - Magnetic moment: 0.00 μB per cell
# - Volume: 17.7 A^3/atom
# - ΔH_f (0 K): -5.5 eV per formula unit
data_PmGa2Pd5
_chemical_formula_sum 'Pm2 Ga4 Pd10'
_symmetry_space_group_name_H-M 'I m m m'
_symmetry_Int_Tables_number 71
_symmetry_space_group_name_Hall '-I 2 2'
_cell_length_a 3.9272
_cell_length_b 7.1579
_cell_length_c 10.0989
_cell_angle_alpha 90.00
_cell_angle_beta 90.00
_cell_angle_gamma 90.00
loop_
_atom_site_label
_atom_site_fract_x
_atom_site_fract_y
_atom_site_fract_z
_atom_site_occupancy
Pm1 0.0000 0.0000 0.0000 1
Ga1 0.0000 0.5000 0.2442 1
Pd1 0.0000 0.1977 0.3583 1
Pd2 0.0000 0.5000 0.0000 1

# PBE Er2RhSe, relaxed
# - Magnetic moment: 0.00 μB per cell
# - Volume: 23.3 A^3/atom
# - E_form (uncorrected): -1.238 eV per atom
# - Distance to the lowest polymorph of the same formula: 67 meV/atom
data_Er2RhSe
_chemical_formula_sum 'Er6 Rh3 Se3'
_symmetry_space_group_name_H-M 'R -3 m'
_symmetry_Int_Tables_number 166
_symmetry_space_group_name_Hall '-R 3 2"'
_cell_length_a 3.9096
_cell_length_b 3.9096
_cell_length_c 21.1510
_cell_angle_alpha 90.00
_cell_angle_beta 90.00
_cell_angle_gamma 120.00
loop_
_atom_site_label
_atom_site_fract_x
_atom_site_fract_y
_atom_site_fract_z
_atom_site_occupancy
Er1 0.0000 0.0000 0.2428 1
Rh1 0.0000 0.0000 0.5000 1
Se1 0.0000 0.0000 0.0000 1

# PBE YTa3S, relaxed
# - Magnetic moment: 0.00 μB per cell
# - Volume: 20.5 A^3/atom
# - E_form (uncorrected): 0.078 eV per atom
# - Distance to the lowest polymorph of the same formula: 0 meV/atom
data_YTa3S
_chemical_formula_sum 'Y1 Ta3 S1'
_symmetry_space_group_name_H-M 'P m -3 m'
_symmetry_Int_Tables_number 221
_symmetry_space_group_name_Hall '-P 4 2 3'
_cell_length_a 4.6777
_cell_length_b 4.6777
_cell_length_c 4.6777
_cell_angle_alpha 90.00
_cell_angle_beta 90.00
_cell_angle_gamma 90.00
loop_
_atom_site_label
_atom_site_fract_x
_atom_site_fract_y
_atom_site_fract_z
_atom_site_occupancy
Y1 0.0000 0.0000 0.0000 1
Ta1 0.0000 0.5000 0.5000 1
S1 0.5000 0.5000 0.5000 1

# PBE PrPaO4, relaxed
# - Magnetic moment: 0.00 μB per cell
# - Volume: 14.0 A^3/atom
# - E_form (uncorrected): -3.627 eV per atom
data_PrPaO4
_chemical_formula_sum 'Pr4 Pa4 O16'
_symmetry_space_group_name_H-M 'I 41/a m d'
_symmetry_Int_Tables_number 141
_cell_length_a 5.5461
_cell_length_b 5.5461
_cell_length_c 10.9188
_cell_angle_alpha 90.00
_cell_angle_beta 90.00
_cell_angle_gamma 90.00
loop_
_symmetry_equiv_pos_as_xyz
'x,y,z'
'-x,-y,-z'
'-y+1/4,x+3/4,z+1/4'
'y+1/4,-x+3/4,-z+1/4'
'-x+1/2,-y,z+1/2'
'x+1/2,y,-z+1/2'
'y+1/4,-x+1/4,z+3/4'
'-y+1/4,x+1/4,-z+3/4'
'x,-y,-z'
'-x,y,z'
'-y+1/4,-x+1/4,-z+3/4'
'y+1/4,x+1/4,z+3/4'
'-x+1/2,y,-z+1/2'
'x+1/2,-y,z+1/2'
'y+1/4,x+3/4,-z+1/4'
'-y+1/4,-x+3/4,z+1/4'
'x+1/2,y+1/2,z+1/2'
'-x+1/2,-y+1/2,-z+1/2'
'-y+3/4,x+1/4,z+3/4'
'y+3/4,-x+1/4,-z+3/4'
'-x,-y+1/2,z'
'x,y+1/2,-z'
'y+3/4,-x+3/4,z+1/4'
'-y+3/4,x+3/4,-z+1/4'
'x+1/2,-y+1/2,-z+1/2'
'-x+1/2,y+1/2,z+1/2'
'-y+3/4,-x+3/4,-z+1/4'
'y+3/4,x+3/4,z+1/4'
'-x,y+1/2,-z'
'x,-y+1/2,z'
'y+3/4,x+1/4,-z+3/4'
'-y+3/4,-x+1/4,z+3/4'
loop_
_atom_site_label
_atom_site_fract_x
_atom_site_fract_y
_atom_site_fract_z
_atom_site_occupancy
Pr1 0.0000 0.2500 0.3750 1
Pa1 0.0000 0.2500 0.8750 1
O1 0.2285 0.0000 0.0000 1